[1]
Computed, not measured: crystalline TcRuCl2 at its relaxed geometry at the PBE level of DFT.

Summary:
Space group: P4/mmm, No. 123
E_form (uncorrected): 1.01 eV per atom
Total DFT energy (no corrections): -4.827 eV per atom
Relative energy among the computed polymorphs: 4.288 eV per formula unit

```
data_TcRuCl2
_cell_length_a 4.3399
_cell_length_b 4.3399
_cell_length_c 3.0992
_cell_angle_alpha 90.00
_cell_angle_beta 90.00
_cell_angle_gamma 90.00
_space_group_name_H-M_alt 'P 1'
_space_group_IT_number 1
_space_group_name_Hall 'P 1'
loop_
_atom_site_label
_atom_site_type_symbol
_atom_site_fract_x
_atom_site_fract_y
_atom_site_fract_z
Tc1 Tc 0.0000 0.5000 0.5000
Cl1 Cl 0.0000 0.0000 0.0000
Cl2 Cl 0.5000 0.5000 0.0000
Ru1 Ru 0.5000 0.0000 0.5000
```

[2]
Computed, not measured: crystalline HoSc5In4 at its relaxed geometry at the PBE level of DFT.

Summary:
Space group: P4/mmm, No. 123
Total DFT energy (no corrections): -5.061 eV per atom
ΔE_f: -0.342 eV/atom

```
data_HoSc5In4
_cell_length_a 3.3614
_cell_length_b 3.3614
_cell_length_c 20.8695
_cell_angle_alpha 90.00
_cell_angle_beta 90.00
_cell_angle_gamma 90.00
_space_group_name_H-M_alt 'P 1'
_space_group_IT_number 1
_space_group_name_Hall 'P 1'
loop_
_atom_site_label
_atom_site_type_symbol
_atom_site_fract_x
_atom_site_fract_y
_atom_site_fract_z
Sc1 Sc 0.5000 0.5000 0.5000
In1 In 0.0000 0.0000 0.5970
Sc2 Sc 0.5000 0.5000 0.1144
Sc3 Sc 0.5000 0.5000 0.6939
In2 In 0.0000 0.0000 0.7904
Sc4 Sc 0.5000 0.5000 0.3061
Ho1 Ho 0.0000 0.0000 0.0000
In3 In 0.0000 0.0000 0.2096
In4 In 0.0000 0.0000 0.4030
Sc5 Sc 0.5000 0.5000 0.8856
```

[3]
Computed, not measured: crystalline Ta5Nb4Ru at its relaxed geometry at the PBE level of DFT.

Summary:
Space group: P4/mmm, No. 123
Total DFT energy (no corrections): -10.998 eV per atom
ΔE_f: -0.116 eV/atom

```
data_Ta5Nb4Ru
_cell_length_a 3.2698
_cell_length_b 3.2698
_cell_length_c 16.5870
_cell_angle_alpha 90.00
_cell_angle_beta 90.00
_cell_angle_gamma 90.00
_space_group_name_H-M_alt 'P 1'
_space_group_IT_number 1
_space_group_name_Hall 'P 1'
loop_
_atom_site_label
_atom_site_type_symbol
_atom_site_fract_x
_atom_site_fract_y
_atom_site_fract_z
Ta1 Ta 0.5000 0.5000 0.7047
Ru1 Ru 0.0000 0.0000 0.0000
Ta2 Ta 0.5000 0.5000 0.5000
Ta3 Ta 0.5000 0.5000 0.9051
Nb1 Nb 0.0000 0.0000 0.3988
Nb2 Nb 0.0000 0.0000 0.8038
Ta4 Ta 0.5000 0.5000 0.0949
Nb3 Nb 0.0000 0.0000 0.6012
Nb4 Nb 0.0000 0.0000 0.1962
Ta5 Ta 0.5000 0.5000 0.2953
```

[4]
Computed, not measured: crystalline TiBe2Cu2 at its relaxed geometry at the PBE level of DFT.

Summary:
Space group: P4/mbm, No. 127
Total DFT energy (no corrections): -4.792 eV per atom
Relative energy among the computed polymorphs: 0.000 eV per formula unit
ΔE_f: -0.084 eV/atom

```
data_TiBe2Cu2
_cell_length_a 6.7267
_cell_length_b 6.7267
_cell_length_c 2.4822
_cell_angle_alpha 90.00
_cell_angle_beta 90.00
_cell_angle_gamma 90.00
_space_group_name_H-M_alt 'P 1'
_space_group_IT_number 1
_space_group_name_Hall 'P 1'
loop_
_atom_site_label
_atom_site_type_symbol
_atom_site_fract_x
_atom_site_fract_y
_atom_site_fract_z
Cu1 Cu 0.8284 0.3284 0.5000
Be1 Be 0.1203 0.3797 0.0000
Cu2 Cu 0.3284 0.1716 0.5000
Be2 Be 0.3797 0.8797 0.0000
Ti1 Ti 0.5000 0.5000 0.0000
Cu3 Cu 0.6716 0.8284 0.5000
Cu4 Cu 0.1716 0.6716 0.5000
Ti2 Ti 0.0000 0.0000 0.0000
Be3 Be 0.6203 0.1203 0.0000
Be4 Be 0.8797 0.6203 0.0000
```

[5]
Computed, not measured: crystalline PrPuTlAg at its relaxed geometry at the PBE level of DFT.

Summary:
Space group: F-43m, No. 216
Total DFT energy (no corrections): -6.166 eV per atom
ΔE_f: -0.084 eV/atom

```
data_PrPuTlAg
_cell_length_a 5.4021
_cell_length_b 5.4021
_cell_length_c 5.4021
_cell_angle_alpha 60.00
_cell_angle_beta 60.00
_cell_angle_gamma 60.00
_space_group_name_H-M_alt 'P 1'
_space_group_IT_number 1
_space_group_name_Hall 'P 1'
loop_
_atom_site_label
_atom_site_type_symbol
_atom_site_fract_x
_atom_site_fract_y
_atom_site_fract_z
Ag1 Ag 0.5000 0.5000 0.5000
Pr1 Pr 0.2500 0.2500 0.2500
Pu1 Pu 0.7500 0.7500 0.7500
Tl1 Tl 0.0000 0.0000 0.0000
```

[6]
Computed, not measured: crystalline Sc2Cd13 at its relaxed geometry at the PBE level of DFT.

Summary:
Space group: R-3m, No. 166
Total DFT energy (no corrections): -1.590 eV per atom
Relative energy among the computed polymorphs: 0.000 eV per formula unit
ΔE_f: 0.048 eV/atom

```
data_Sc2Cd13
_cell_length_a 8.1965
_cell_length_b 8.1965
_cell_length_c 8.1259
_cell_angle_alpha 59.71
_cell_angle_beta 59.71
_cell_angle_gamma 60.00
_space_group_name_H-M_alt 'P 1'
_space_group_IT_number 1
_space_group_name_Hall 'P 1'
loop_
_atom_site_label
_atom_site_type_symbol
_atom_site_fract_x
_atom_site_fract_y
_atom_site_fract_z
Cd1 Cd 0.9824 0.9824 0.6917
Cd2 Cd 0.3435 0.9824 0.6917
Cd3 Cd 0.9824 0.3435 0.6917
Cd4 Cd 0.6565 0.0176 0.3083
Cd5 Cd 0.7572 0.3941 0.0914
Cd6 Cd 0.0176 0.0176 0.3083
Cd7 Cd 0.3941 0.7572 0.0914
Sc1 Sc 0.7698 0.7698 0.6905
Sc2 Sc 0.2302 0.2302 0.3095
Cd8 Cd 0.2428 0.2428 0.9086
Cd9 Cd 0.2428 0.6059 0.9086
Cd10 Cd 0.0176 0.6565 0.3083
Cd11 Cd 0.5000 0.5000 0.5000
Cd12 Cd 0.6059 0.2428 0.9086
Cd13 Cd 0.7572 0.7572 0.0914
```

[7]
Computed, not measured: crystalline Rb2Mg2I7 at its relaxed geometry at the PBE level of DFT.

Summary:
Space group: C2/m, No. 12
E_form (uncorrected): -1.02 eV per atom
Total DFT energy (no corrections): -2.467 eV per atom

```
data_Rb2Mg2I7
_cell_length_a 6.8644
_cell_length_b 10.1494
_cell_length_c 10.1494
_cell_angle_alpha 112.11
_cell_angle_beta 95.27
_cell_angle_gamma 95.27
_space_group_name_H-M_alt 'P 1'
_space_group_IT_number 1
_space_group_name_Hall 'P 1'
loop_
_atom_site_label
_atom_site_type_symbol
_atom_site_fract_x
_atom_site_fract_y
_atom_site_fract_z
I1 I 0.6440 0.0894 0.3644
Rb1 Rb 0.5000 0.7086 0.2914
I2 I 0.8443 0.5932 0.5932
I3 I 0.0000 0.0000 0.0000
Mg1 Mg 0.8381 0.2084 0.2084
I4 I 0.3560 0.9106 0.6356
I5 I 0.1557 0.4068 0.4068
I6 I 0.6440 0.3644 0.0894
Mg2 Mg 0.1619 0.7916 0.7916
I7 I 0.3560 0.6356 0.9106
Rb2 Rb 0.5000 0.2914 0.7086
```

[8]
Computed, not measured: crystalline EuHoTm2 at its relaxed geometry at the PBE level of DFT.

Summary:
Space group: Fm-3m, No. 225
Total DFT energy (no corrections): -5.782 eV per atom
Relative energy among the computed polymorphs: 0.389 eV per formula unit
ΔE_f: 0.167 eV/atom

```
data_EuHoTm2
_cell_length_a 5.6782
_cell_length_b 5.6782
_cell_length_c 5.6782
_cell_angle_alpha 60.00
_cell_angle_beta 60.00
_cell_angle_gamma 60.00
_space_group_name_H-M_alt 'P 1'
_space_group_IT_number 1
_space_group_name_Hall 'P 1'
loop_
_atom_site_label
_atom_site_type_symbol
_atom_site_fract_x
_atom_site_fract_y
_atom_site_fract_z
Tm1 Tm 0.2500 0.2500 0.2500
Eu1 Eu 0.5000 0.5000 0.5000
Tm2 Tm 0.7500 0.7500 0.7500
Ho1 Ho 0.0000 0.0000 0.0000
```